1.
SbAs3: relaxed, GGA-PBEsol.

a b c (Å): 3.8779 4.1116 6.2375
angles (deg): 107.95 108.11 90.00
With the nearest neighbours (Å) after each atom.
Sites, in units of the cell vectors:
As  0.5000  0.5000  0.0000  2 As 2.74, 4 Sb 2.83
As  0.7443  0.6989  0.4885  3 As 2.57-2.74
As  0.2557  0.3011  0.5115  3 As 2.57-2.74
Sb  0.0000  0.0000  0.0000  6 As 2.83-2.88

---

2.
SbAs3: relaxed, GGA-PBEsol.

a b c (Å): 4.1983 7.7994 16.8524
angles (deg): 90.00 90.00 90.00
With the nearest neighbours (Å) after each atom.
Sites, in units of the cell vectors:
As  0.0348  0.2574  0.1666  1 As 2.51, 1 Sb 2.69
As  0.9652  0.7574  0.6666  1 As 2.51, 1 Sb 2.69
As  0.4288  0.5000  0.8333  2 As 2.51
As  0.5713  0.0000  0.0000  2 As 2.51
As  0.4288  0.5000  0.1667  2 As 2.51
As  0.0346  0.2574  0.5000  1 As 2.51, 1 Sb 2.69
As  0.0346  0.7426  0.5000  1 As 2.51, 1 Sb 2.69
As  0.4287  0.5000  0.5000  2 As 2.51
As  0.9654  0.7574  0.0000  1 As 2.51, 1 Sb 2.69
As  0.0348  0.2574  0.8334  1 As 2.51, 1 Sb 2.69
As  0.9652  0.2426  0.3334  1 As 2.51, 1 Sb 2.69
As  0.5712  0.0000  0.6667  2 As 2.51
As  0.9654  0.2426  0.0000  1 As 2.51, 1 Sb 2.69
As  0.9652  0.7574  0.3334  1 As 2.51, 1 Sb 2.69
As  0.5712  0.0000  0.3333  2 As 2.51
As  0.0348  0.7426  0.8334  1 As 2.51, 1 Sb 2.69
As  0.0348  0.7426  0.1666  1 As 2.51, 1 Sb 2.69
As  0.9652  0.2426  0.6666  1 As 2.51, 1 Sb 2.69
Sb  0.4612  0.0000  0.8333  4 As 2.69-2.85
Sb  0.5388  0.5000  0.3333  4 As 2.69-2.85
Sb  0.4610  0.0000  0.5000  4 As 2.69-2.85
Sb  0.5388  0.5000  0.6667  4 As 2.69-2.85
Sb  0.4612  0.0000  0.1667  4 As 2.69-2.85
Sb  0.5390  0.5000  0.0000  4 As 2.69-2.85

---

3.
SbAs3: relaxed, GGA-PBEsol.

a b c (Å): 3.0805 3.0805 9.1713
angles (deg): 90.00 90.00 110.84
With the nearest neighbours (Å) after each atom.
Sites, in units of the cell vectors:
Sb  0.5000  0.5000  0.5000  4 As 3.04, 4 Sb 3.08
As  0.0000  0.0000  0.2282  2 As 2.73, 2 Sb 3.04
As  0.5000  0.5000  0.0000  4 As 2.73
As  0.0000  0.0000  0.7718  2 As 2.73, 2 Sb 3.04

---

Relative energies in meV/atom: 1 47; 2 0; 3 336

---

1.
Sb3As: relaxed, GGA-PBEsol.

a b c (Å): 4.1624 4.4432 5.9759
angles (deg): 90.00 90.00 90.00
With the nearest neighbours (Å) after each atom.
Sites, in units of the cell vectors:
Sb  0.5000  0.3712  0.5000  4 Sb 2.87-3.02
Sb  0.5000  0.2730  0.0000  2 As 2.74, 2 Sb 3.02
Sb  0.0000  0.8162  0.5000  2 Sb 2.87, 2 As 3.00
As  0.0000  0.8730  0.0000  4 Sb 2.74-3.00

---

2.
Sb3As: relaxed, GGA-PBEsol.

a b c (Å): 4.2042 4.2042 7.2930
angles (deg): 73.25 73.25 60.00
With the nearest neighbours (Å) after each atom.
Sites, in units of the cell vectors:
Sb  0.2559  0.2559  0.2324  3 As 2.91, 3 Sb 3.05
Sb  0.7441  0.7441  0.7676  3 As 2.91, 3 Sb 3.05
Sb  0.5000  0.5000  0.5000  6 Sb 3.05
As  0.0000  0.0000  0.0000  6 Sb 2.91

---

Relative energies in meV/atom: 1 0; 2 10

---

1.
Sb2AsSe: relaxed, GGA-PBEsol.

a b c (Å): 4.2533 4.2533 6.7606
angles (deg): 71.67 71.67 60.00
With the nearest neighbours (Å) after each atom.
Sites, in units of the cell vectors:
As  0.0000  0.0000  0.0000  6 Sb 2.88
Sb  0.7463  0.7463  0.7612  3 As 2.88, 3 Se 2.96
Sb  0.2537  0.2537  0.2388  3 As 2.88, 3 Se 2.96
Se  0.5000  0.5000  0.5000  6 Sb 2.96

---

2.
Sb2AsSe: relaxed, GGA-PBEsol.

a b c (Å): 5.0627 5.0627 5.0627
angles (deg): 108.27 110.07 110.07
With the nearest neighbours (Å) after each atom.
Sites, in units of the cell vectors:
As  0.0000  0.0000  0.0000  4 Sb 2.90, 2 Se 2.97
Sb  0.5000  0.0000  0.5000  2 Se 2.90, 2 As 2.90, 2 Sb 2.97
Sb  0.5000  0.5000  0.0000  2 As 2.90, 2 Se 2.90, 2 Sb 2.97
Se  0.0000  0.5000  0.5000  4 Sb 2.90, 2 As 2.97

---

Relative energies in meV/atom: 1 0; 2 56